(1)
Pa2ZnTc2, relaxed, DFT PBE; formation energy from the elements = -224.5 meV per atom; VASP energy = -42.120 eV per cell; N(E_F) = 1.28 states/eV per atom; space group = No. 71
1.0
-3.4570 0.4976 -2.7344
0.7869 -1.7473 -4.9104
-2.6919 -4.4204 -0.9988
Pa Zn Tc
2 1 2
Cartesian
-1.2514 -1.8001 -2.3431
-4.1106 -3.8700 -6.3005
0.0000 0.0000 0.0000
-3.5617 -3.5118 -3.3316
-1.8003 -2.1583 -5.3121

(2)
TaIn2Sb, relaxed, DFT PBE; VASP energy = -38.124 eV per cell; raw formation energy = 0.597 eV/atom; N(E_F) = 0.93 states/eV per atom; space group = No. 122
1.0
8.3738 0.0000 0.0000
0.0000 8.3738 0.0000
4.1869 4.1869 2.8656
Sb In Ta
2 4 2
Cartesian
4.1869 4.1869 0.0000
4.1869 8.3738 1.4328
6.5052 2.0935 0.7164
1.8686 6.2804 0.7164
6.2804 6.0555 2.1492
10.4673 10.6921 2.1492
0.0000 0.0000 0.0000
8.3738 4.1869 1.4328

(3)
NdErMn4, relaxed, DFT PBE; formation energy from the elements = 212.0 meV per atom; VASP energy = -44.737 eV per cell; N(E_F) = 1.26 states/eV per atom; space group = No. 216
1.0
-4.3390 -0.5556 -2.7825
0.2645 -1.6116 -4.9204
-1.6765 -4.7388 -1.2693
Mn Nd Er
4 1 1
Cartesian
-2.7549 -1.9320 -4.9778
-3.7350 -3.5110 -3.1342
-3.6014 -4.3248 -5.6187
-1.4106 -4.0442 -4.2137
-1.4377 -1.7265 -2.2430
0.0000 0.0000 0.0000

(4)
BaTcRh, relaxed, DFT PBE; formation energy from the elements = 490.3 meV per atom; excess energy over the best structure of this formula in the dataset = 432 meV per atom; VASP energy = -18.169 eV per cell; N(E_F) = 1.02 states/eV per atom; space group = No. 42
1.0
-0.2494 6.0159 -2.3296
-3.3977 4.7047 -2.7439
-1.0212 1.9882 2.6090
Ba Rh Tc
1 1 1
Cartesian
-3.6427 10.7063 -5.0609
-1.7670 4.4684 0.4270
-2.9055 8.2547 -2.9041

(5)
Y2ZnCu4Si3, relaxed, DFT PBE; VASP energy = -51.981 eV per cell; raw formation energy = -0.513 eV/atom; N(E_F) = 0.39 states/eV per atom; space group = No. 115
1.0
3.9977 0.0000 0.0000
0.0000 3.9977 0.0000
0.0000 0.0000 10.0788
Y Zn Cu Si
2 1 4 3
Cartesian
1.9988 0.0000 2.4506
0.0000 1.9988 7.6282
1.9988 1.9988 5.0394
1.9988 1.9988 0.0000
0.0000 0.0000 0.0000
1.9988 0.0000 6.4281
0.0000 1.9988 3.6507
0.0000 0.0000 5.0394
1.9988 0.0000 8.7393
0.0000 1.9988 1.3395

(6)
NdEu3F, relaxed, DFT PBE; VASP energy = -42.374 eV per cell; raw formation energy = -0.982 eV/atom; N(E_F) = 0.71 states/eV per atom; space group = No. 221
1.0
-2.7109 -4.4216 -1.4877
0.9155 -2.1914 4.8448
-4.5745 2.1817 1.8513
Eu Nd F
3 1 1
Cartesian
0.4578 -1.0957 2.4224
-2.2872 1.0909 0.9256
-1.3554 -2.2108 -0.7439
-3.1849 -2.2157 2.6042
0.0000 0.0000 0.0000

(7)
PmHfAlAg, relaxed, DFT PBE; formation energy from the elements = -97.3 meV per atom; VASP energy = -21.687 eV per cell; N(E_F) = 1.04 states/eV per atom; space group = No. 216
1.0
5.0347 0.0000 0.0000
2.5173 4.3602 0.0000
2.5173 1.4534 4.1108
Hf Al Ag Pm
1 1 1 1
Cartesian
5.0347 2.9068 2.0554
7.5520 4.3602 3.0831
2.5173 1.4534 1.0277
0.0000 0.0000 0.0000

(8)
RbHfB, relaxed, DFT PBE; formation energy from the elements = 289.1 meV per atom; excess energy over the best structure of this formula in the dataset = 244 meV per atom; VASP energy = -33.462 eV per cell; N(E_F) = 0.55 states/eV per atom; space group = No. 1
1.0
-1.7292 -2.6852 0.4661
9.1415 -5.0089 7.0773
-1.9949 1.9204 3.6593
B Hf Rb
2 2 2
Cartesian
3.5096 -3.9249 4.3382
3.8243 -2.2202 4.1514
2.8785 -1.2741 6.0900
1.5964 -2.8128 3.6459
-0.7059 0.5890 3.4989
6.3085 -3.4973 6.0232

(9)
LiLaZr2As, relaxed, DFT PBE; formation energy from the elements = 31.2 meV per atom; VASP energy = -28.431 eV per cell; N(E_F) = 1.23 states/eV per atom; space group = No. 123
1.0
-1.4222 3.4582 -3.4914
-4.4563 1.4774 3.2786
2.8808 3.5313 2.3243
As Li Zr La
1 1 2 1
Cartesian
0.0000 0.0000 0.0000
-1.4989 4.2334 1.0558
1.4404 1.7657 1.1621
-0.7111 1.7291 -1.7457
-2.2281 0.7387 1.6393

(10)
Dy2TiAl, relaxed, DFT PBE; formation energy from the elements = -51.6 meV per atom; excess energy over the best structure of this formula in the dataset = 21 meV per atom; VASP energy = -21.048 eV per cell; N(E_F) = 1.30 states/eV per atom; space group = No. 225
1.0
-4.6179 1.9306 1.1595
-4.0360 -1.0063 -3.0158
-3.7389 -3.1063 1.6638
Ti Al Dy
1 1 2
Cartesian
-6.1964 -1.0910 -0.0962
0.0000 0.0000 0.0000
-3.0982 -0.5455 -0.0481
-9.2946 -1.6365 -0.1444

(11)
Ca3GaB, relaxed, DFT PBE; formation energy from the elements = 190.5 meV per atom; excess energy over the best structure of this formula in the dataset = 0 meV per atom; VASP energy = -14.757 eV per cell; N(E_F) = 1.33 states/eV per atom; space group = No. 221
1.0
-4.2945 0.0841 -2.9850
-2.5586 -2.7997 3.6022
-1.5398 4.4176 2.3398
Ca B Ga
3 1 1
Cartesian
-1.2793 -1.3998 1.8011
-0.7699 2.2088 1.1699
-2.1473 0.0421 -1.4925
0.0000 0.0000 0.0000
-4.1964 0.8510 1.4785

> Which of these has the highest N(E_F)?

Ca3GaB

> Among the records above, which one has the highest VASP energy?

Ca3GaB